# 1
The following is a PBE calculation of crystalline LiCd6Ag5 at its relaxed geometry, from Alexandria via LeMat-Bulk.

Geometry as extended XYZ:
```
12
Lattice="8.773 0.220 0.000 2.338 3.916 0.000 1.169 1.958 6.814" Properties=species:S:1:pos:R:3 pbc="T T T"
Ag 5.555 2.068 4.532
Ag 5.555 2.068 0.000
Ag 6.724 4.026 2.282
Ag 2.338 3.916 4.557
Ag 1.169 1.958 2.257
Cd 8.348 3.096 4.565
Cd 8.358 3.086 0.000
Cd 2.753 1.049 0.000
Cd 5.101 4.955 4.565
Cd 3.932 2.997 2.249
Cd 7.179 1.138 2.249
Li 0.000 0.000 0.000
```

## Properties
- Total moment: 0.00 μB/cell
- Crystal system: monoclinic
- Electronic total energy: -22.79 eV per formula unit
- Calculated volume: 19.22 Å³ per atom
- Space-group type: No. 12

***

# 2
The following is a PBE calculation of crystalline CaZn2Os at its relaxed geometry, from Alexandria via LeMat-Bulk.

Geometry as extended XYZ:
```
4
Lattice="4.241 0.000 0.000 0.000 4.240 0.000 0.000 0.000 3.840" Properties=species:S:1:pos:R:3 pbc="T T T"
Ca 2.120 0.000 1.920
Zn 0.000 0.000 0.000
Zn 2.120 2.120 0.000
Os 0.000 2.120 1.920
```

## Properties
- Total moment: 0.44 μB/cell
- Crystal system: tetragonal
- Electronic total energy: -14.58 eV per formula unit
- Calculated volume: 17.26 Å³ per atom
- Space-group type: No. 123

***

# 3
The following is a PBE calculation of crystalline Pa2GaOs3 at its relaxed geometry, from Alexandria via LeMat-Bulk.

Geometry as extended XYZ:
```
12
Lattice="5.607 0.000 0.000 -2.803 4.856 0.000 0.000 0.000 7.970" Properties=species:S:1:pos:R:3 pbc="T T T"
Pa 0.000 3.237 4.522
Pa 0.000 3.237 7.433
Pa 2.803 1.619 3.448
Pa 2.803 1.619 0.537
Os 1.435 0.828 5.977
Os 4.172 0.828 5.977
Os 2.803 3.199 5.977
Os 0.000 1.657 1.992
Os 1.368 4.027 1.992
Os -1.368 4.027 1.992
Ga 0.000 0.000 0.000
Ga 0.000 0.000 3.985
```

## Properties
- Relative energy among the computed polymorphs: 12.0 meV/atom
- Total moment: 0.00 μB/cell
- Crystal system: hexagonal
- Calculated volume: 18.08 Å³ per atom
- Space-group type: No. 194

***

# 4
The following is a PBE calculation of crystalline CsYClF2 at its relaxed geometry, from Alexandria via LeMat-Bulk.

Geometry as extended XYZ:
```
5
Lattice="4.684 0.000 0.000 0.000 4.684 0.000 0.000 0.000 5.493" Properties=species:S:1:pos:R:3 pbc="T T T"
F 0.000 2.342 0.000
F 2.342 0.000 0.000
Cl 0.000 0.000 2.746
Cs 2.342 2.342 2.746
Y 0.000 0.000 0.000
```

## Properties
- Total moment: 0.91 μB/cell
- Crystal system: tetragonal
- Electronic total energy: -26.11 eV per formula unit
- Calculated volume: 24.10 Å³ per atom
- Space-group type: No. 123

***

# 5
The following is a PBE calculation of crystalline Cs3K2Cd2 at its relaxed geometry, from Alexandria via LeMat-Bulk.

Geometry as extended XYZ:
```
7
Lattice="2.522 8.678 0.682 -2.522 8.678 0.682 0.000 3.489 10.800" Properties=species:S:1:pos:R:3 pbc="T T T"
Cd 0.000 14.885 3.358
Cd 0.000 5.959 8.805
Cs 0.000 8.111 5.282
Cs 0.000 12.734 6.881
Cs 0.000 8.678 0.682
K 0.000 3.536 1.973
K 0.000 17.308 10.190
```

## Properties
- Total moment: 0.00 μB/cell
- Crystal system: monoclinic
- Electronic total energy: -6.64 eV per formula unit
- Calculated volume: 65.81 Å³ per atom
- Space-group type: No. 12

***

# 6
The following is a PBE calculation of crystalline Tm6Ge3AsS2 at its relaxed geometry, from Alexandria via LeMat-Bulk.

Geometry as extended XYZ:
```
12
Lattice="-0.682 0.317 -3.926 -7.424 -3.036 1.044 -0.537 8.579 2.821" Properties=species:S:1:pos:R:3 pbc="T T T"
Ge -2.186 5.468 -1.214
Ge -6.457 0.392 1.152
Ge -4.053 -1.360 -1.441
S -5.860 3.941 -0.700
S -2.783 1.919 0.638
Tm -3.684 4.536 1.006
Tm -6.784 6.582 -0.326
Tm -4.959 1.324 -1.067
Tm -1.858 -0.722 0.264
Tm -7.394 3.036 1.528
Tm -1.249 2.824 -1.590
As -0.341 0.158 -1.963
```

## Properties
- Total moment: 0.00 μB/cell
- Crystal system: monoclinic
- Electronic total energy: -69.29 eV per formula unit
- Calculated volume: 22.90 Å³ per atom
- Space-group type: No. 12